1.
A relaxed AlHg2F6 crystal, computed with GGA-PBE.

Properties
uncorrected formation energy = -2.22 eV per atom
size of the total moment = 0.000 μB/atom

Cell and atoms, written as POSCAR:
```
AlHg2F6
1.0
6.344 0.000 -0.009
0.000 5.572 0.000
-0.784 0.000 7.742
F Hg Al
12 4 2
direct
0.331 0.579 0.803 F
0.169 0.079 0.697 F
0.639 0.273 0.880 F
0.831 0.921 0.303 F
0.669 0.421 0.197 F
0.687 0.728 0.942 F
0.861 0.773 0.620 F
0.813 0.228 0.558 F
0.139 0.227 0.380 F
0.187 0.772 0.442 F
0.313 0.272 0.058 F
0.361 0.727 0.120 F
0.478 0.064 0.317 Hg
0.978 0.436 0.817 Hg
0.522 0.936 0.683 Hg
0.022 0.564 0.183 Hg
0.000 0.000 0.500 Al
0.500 0.500 0.000 Al
```

2.
A relaxed AlHgF3 crystal, computed with GGA-PBE.

Properties
energy relative to the lowest polymorph listed for this composition = 0 meV/atom
uncorrected formation energy = -2.18 eV per atom
size of the total moment = 0.000 μB/atom

Cell and atoms, written as POSCAR:
```
AlHgF3
1.0
4.006 0.000 0.000
0.000 4.006 0.000
0.000 0.000 4.006
Hg F Al
1 3 1
direct
0.500 0.500 0.500 Hg
0.000 0.500 0.000 F
0.500 0.000 0.000 F
0.000 0.000 0.500 F
0.000 0.000 0.000 Al
```

3.
A relaxed AlInHg2F crystal, computed with GGA-PBE.

Properties
uncorrected formation energy = 0.01 eV per atom
size of the total moment = 0.000 μB/atom

Cell and atoms, written as POSCAR:
```
AlInHg2F
1.0
5.547 0.000 0.000
0.000 5.441 0.000
0.000 0.000 5.547
Hg In F Al
2 1 1 1
direct
0.500 0.000 0.000 Hg
0.000 0.000 0.500 Hg
0.000 0.000 0.000 In
0.500 0.500 0.500 F
0.000 0.500 0.000 Al
```

4.
A relaxed La2AlHgF crystal, computed with GGA-PBE.

Properties
uncorrected formation energy = -1.03 eV per atom
size of the total moment = 0.000 μB/atom

Cell and atoms, written as POSCAR:
```
La2AlHgF
1.0
5.012 0.000 0.000
0.000 5.045 0.000
0.000 0.000 5.012
La Al F Hg
2 1 1 1
direct
0.500 0.000 0.000 La
0.000 0.000 0.500 La
0.500 0.500 0.500 Al
0.000 0.000 0.000 F
0.000 0.500 0.000 Hg
```

5.
A relaxed Li2AlHgF6 crystal, computed with GGA-PBE.

Properties
uncorrected formation energy = -2.41 eV per atom
size of the total moment = 0.000 μB/atom

Cell and atoms, written as POSCAR:
```
Li2AlHgF6
1.0
-5.788 -0.851 1.579
-4.119 4.290 -1.161
-4.202 -0.911 -4.269
Hg F Al Li
1 6 1 2
direct
0.500 0.500 0.500 Hg
0.787 0.787 0.213 F
0.213 0.787 0.787 F
0.787 0.213 0.787 F
0.787 0.213 0.213 F
0.213 0.213 0.787 F
0.213 0.787 0.213 F
0.000 0.000 0.000 Al
0.250 0.250 0.250 Li
0.750 0.750 0.750 Li
```

6.
A relaxed LiAlHg2F crystal, computed with GGA-PBE.

Properties
uncorrected formation energy = -0.20 eV per atom
size of the total moment = 0.003 μB/atom

Cell and atoms, written as POSCAR:
```
LiAlHg2F
1.0
5.067 0.000 0.000
0.000 5.541 0.000
0.000 0.000 5.067
F Li Al Hg
1 1 1 2
direct
0.500 0.500 0.500 F
0.000 0.500 0.000 Li
0.000 0.000 0.000 Al
0.500 0.000 0.000 Hg
0.000 0.000 0.500 Hg
```